Record 1
The following is a PBE-GGA calculation of a relaxed SrRh crystal, from Alexandria via LeMat-Bulk.

Cell lengths 4.3846, 4.3846, 8.3567 Å; angles 74.79, 74.79, 60.00 degrees
Last column: nearest neighbours and their distance in Å.
Atoms (fractional coordinates):
Rh (0.6668, 0.6668, 0.9995)  3 Rh 2.53
Rh (0.3332, 0.3332, 0.0005)  3 Rh 2.53
Sr (0.9177, 0.9177, 0.2468)  6 Rh 3.20-3.21
Sr (0.0823, 0.0823, 0.7532)  6 Rh 3.20-3.21

Summary:
Its crystal system is trigonal. The value obtained for the total DFT energy (no corrections) is -18.9 eV for the cell shown.

=====

Record 2
The following is a PBE-GGA calculation of a relaxed SrRh crystal, from Alexandria via LeMat-Bulk.

Cell lengths 6.2838, 6.2838, 7.5844 Å; angles 79.18, 79.18, 35.44 degrees
Last column: nearest neighbours and their distance in Å.
Atoms (fractional coordinates):
Rh (0.6399, 0.6399, 0.2305)  2 Rh 2.55
Rh (0.2416, 0.2416, 0.3573)  4 Rh 2.55-2.56
Rh (0.7634, 0.7634, 0.5722)  2 Rh 2.56
Sr (0.0213, 0.0213, 0.5925)  2 Rh 2.88-3.12
Sr (0.9330, 0.9330, 0.1806)  5 Rh 3.08-3.25
Sr (0.2342, 0.2342, 0.9002)  4 Rh 3.10-3.18

Summary:
Its crystal system is monoclinic. The value obtained for the total DFT energy (no corrections) is -27.1 eV for the cell shown.

=====

Record 3
The following is a PBE-GGA calculation of a relaxed Sr5Rh crystal, from Alexandria via LeMat-Bulk.

Cell lengths 7.2756, 7.2756, 10.1343 Å; angles 67.63, 67.63, 31.74 degrees
Last column: nearest neighbours and their distance in Å.
Atoms (fractional coordinates):
Rh (0.0278, 0.0279, 0.9443)  4 Sr 3.04
Sr (0.6412, 0.6413, 0.0570)  2 Rh 3.04
Sr (0.4141, 0.4142, 0.8320)  2 Rh 3.04
Sr (0.6954, 0.6954, 0.6725)  2 Rh 3.45, 2 Sr 3.62-3.66
Sr (0.0276, 0.0277, 0.4446)  12 Sr 3.98-4.37
Sr (0.3601, 0.3601, 0.2164)  2 Rh 3.46, 2 Sr 3.61-3.66

Summary:
Its crystal system is monoclinic. The value obtained for the total DFT energy (no corrections) is -16.1 eV for the cell shown.

=====

Record 4
The following is a PBE-GGA calculation of a relaxed SrRh5 crystal, from Alexandria via LeMat-Bulk.

Cell lengths 5.4755, 5.4755, 6.8319 Å; angles 87.14, 87.14, 29.80 degrees
Last column: nearest neighbours and their distance in Å.
Atoms (fractional coordinates):
Rh (0.6604, 0.6604, 0.6471)  9 Rh 2.61-2.82
Rh (0.2932, 0.2932, 0.3898)  7 Rh 2.61-2.92, 1 Sr 2.87
Rh (0.0517, 0.0517, 0.9548)  7 Rh 2.64-2.82, 3 Sr 2.78-2.88
Rh (0.5636, 0.5636, 0.2810)  10 Rh 2.64-2.94
Rh (0.9509, 0.9509, 0.5912)  9 Rh 2.63-2.82
Sr (0.3135, 0.3135, 0.9693)  4 Rh 2.78-2.88, 2 Sr 2.82

Summary:
Its crystal system is monoclinic. The value obtained for the total DFT energy (no corrections) is -37.4 eV for the cell shown.

=====

| no. | total moment (Bohr magnetons per cell) |
| --- | --- |
| 1 | 1.1 |
| 2 | 0.0 |
| 3 | 0.0 |
| 4 | 0.0 |